Entry 1:
Y2CdTcC | GGA-PBE | optimized geometry

Total energy   -7.011 eV/atom
SG   P4/mmm (123)
Magnetization   0.001 μB/atom

Structure (extended XYZ):
```
5
Lattice="5.0085 0.0000 0.0000 0.0000 5.0085 0.0000 0.0000 0.0000 4.0033" Properties=species:S:1:pos:R:3 pbc="T T T"
Tc 0.0000 0.0000 2.0016
Y 0.0000 2.5042 0.0000
Y 2.5042 0.0000 0.0000
C 0.0000 0.0000 0.0000
Cd 2.5042 2.5042 2.0016
```

***

Entry 2:
Tm4CdTeC2 | GGA-PBE | optimized geometry

Total energy   -5.635 eV/atom
SG   P-6m2 (187)
Magnetization   0.092 μB/atom

Structure (extended XYZ):
```
8
Lattice="3.6296 0.0000 0.0000 -1.8148 3.1434 0.0000 0.0000 0.0000 15.1138" Properties=species:S:1:pos:R:3 pbc="T T T"
C 1.8148 1.0478 3.5695
C 1.8148 1.0478 11.5443
Tm 0.0000 2.0956 10.2120
Tm 0.0000 0.0000 2.2887
Tm 0.0000 2.0956 4.9017
Tm 0.0000 0.0000 12.8251
Te 0.0000 2.0956 0.0000
Cd 0.0000 0.0000 7.5569
```

***

Entry 3:
Zr4CdTeC2 | GGA-PBE | optimized geometry

Total energy   -7.782 eV/atom
SG   P-6m2 (187)
Magnetization   0.001 μB/atom

Structure (extended XYZ):
```
8
Lattice="-0.5906 -3.2439 1.0100 2.6628 1.7562 1.3105 -8.3940 4.8254 10.5892" Properties=species:S:1:pos:R:3 pbc="T T T"
Te -4.1970 2.4127 5.2946
C -5.7184 1.9940 8.9470
C -1.6879 -0.3230 3.8625
Cd 1.5783 0.0895 1.2103
Zr -6.9118 3.9733 8.7193
Zr -1.4822 0.8521 1.8698
Zr -3.9011 3.2394 8.1227
Zr -1.3363 1.7650 4.8871
```

***

Entry 4:
Tm4TlCdC2 | GGA-PBE | optimized geometry

Total energy   -5.331 eV/atom
SG   P-6m2 (187)
Magnetization   0.101 μB/atom

Structure (extended XYZ):
```
8
Lattice="-1.2209 0.0089 3.3306 3.3095 -1.0854 -0.6730 5.3132 15.0183 1.9078" Properties=species:S:1:pos:R:3 pbc="T T T"
Tm 3.5606 4.2578 1.2939
Tm 5.3513 9.3192 1.9369
Tm 0.8852 2.5022 0.3179
Tm 4.4280 12.5161 1.5899
C 1.6219 3.4112 2.4746
C 4.2697 10.8953 3.4253
Tl 1.7994 -0.7206 0.6615
Cd 2.6566 7.5091 0.9539
```

***

Entry 5:
Zr4TlCdC2 | GGA-PBE | optimized geometry

Total energy   -7.563 eV/atom
SG   P-6m2 (187)
Magnetization   0.018 μB/atom

Structure (extended XYZ):
```
8
Lattice="-0.8434 -2.3834 -2.2180 -0.6613 -0.4349 3.2688 -13.6277 6.5740 -1.8822" Properties=species:S:1:pos:R:3 pbc="T T T"
Cd 0.0000 0.0000 0.0000
Zr -9.1106 4.3949 -1.2583
Zr -4.5171 2.1790 -0.6239
Zr -12.1173 3.7339 -1.9546
Zr -3.0758 -0.6277 -0.7058
C -10.9383 3.8439 0.0288
C -4.1334 0.5612 0.9687
Tl -7.5965 1.5531 -1.3302
```

***

Entry 6:
Tm3ZrCd2C2 | GGA-PBE | optimized geometry

Total energy   -5.654 eV/atom
SG   P3m1 (156)
Magnetization   0.018 μB/atom

Structure (extended XYZ):
```
8
Lattice="3.4604 0.0000 0.0000 -1.7302 2.9968 0.0000 0.0000 0.0000 15.9714" Properties=species:S:1:pos:R:3 pbc="T T T"
C 1.7302 0.9989 7.9742
C 1.7302 0.9989 0.1506
Cd 0.0000 1.9979 3.8334
Cd 0.0000 0.0000 12.0237
Tm 0.0000 1.9979 14.6795
Tm 0.0000 0.0000 6.6343
Tm 0.0000 1.9979 9.3133
Zr 0.0000 0.0000 1.2908
```